[1]
Below is a geometry-optimized LaMg2Ga2Ag2 structure, with properties calculated at the GGA-PBE level.

The uncorrected energy is -3.18 eV/atom.

The structure belongs to space group R-3m (No. 166, hexagonal axes); the cell edges are 4.5548, 4.5548 and 25.0494 Å and the angles 90.00°, 90.00° and 120.00°. The asymmetric unit holds La at (0.0000, 0.0000, 0.0000), Mg at (0.0000, 0.0000, 0.1381), Ga at (0.0000, 0.0000, 0.2576) and Ag at (0.0000, 0.0000, 0.4324).



[2]
Below is a geometry-optimized CdReRu2 structure, with properties calculated at the GGA-PBE level.

The uncorrected energy is -7.60 eV/atom.

The structure belongs to space group C2/m (No. 12); the cell edges are 9.1069, 2.7879 and 5.0420 Å and the angles 90.00°, 100.11° and 90.00°. The asymmetric unit holds Cd at (0.0000, 0.0000, 0.0000), Re at (0.0000, 0.5000, 0.5000) and Ru at (0.2384, 0.0000, 0.7155).